*P*
## Na2Co (PBE)

Data for Na2Co after structural relaxation.

Lattice parameters (Å, degrees): 6.945 6.945 6.945 90.00 90.00 90.00
Space group Fm-3m (No. 225)
One atom of each set of equivalent atoms:
Na 0.250 0.250 0.250
Co 0.000 0.000 0.000

Calculated values
The total magnetization is 1.80 μB/f.u.

*Q*
## Na2Co (PBE)

Data for Na2Co after structural relaxation.

Lattice parameters (Å, degrees): 7.686 7.686 7.686 90.00 90.00 90.00
Space group Fd-3m (No. 227, origin choice 2)
One atom of each set of equivalent atoms:
Na 0.000 0.000 0.000
Co 0.125 0.125 0.625

Calculated values
The total magnetization is 1.61 μB/f.u.

Energy ordering: *P* at the bottom, the next structure 81 meV per atom above.

*P*
## NaNdCo (PBE)

Data for NaNdCo after structural relaxation.

Lattice parameters (Å, degrees): 6.650 6.650 6.650 90.00 90.00 90.00
Space group F-43m (No. 216)
One atom of each set of equivalent atoms:
Na 0.000 0.000 0.000
Nd 0.000 0.000 0.500
Co 0.250 0.250 0.250

Calculated values
The total magnetization is 0.45 μB/f.u.

*Q*
## NaNdCo (PBE)

Data for NaNdCo after structural relaxation.

Lattice parameters (Å, degrees): 6.739 6.739 6.739 90.00 90.00 90.00
Space group F-43m (No. 216)
One atom of each set of equivalent atoms:
Na 0.000 0.000 0.000
Nd 0.250 0.250 0.750
Co 0.000 0.000 0.500

Calculated values
The total magnetization is 0.61 μB/f.u.

Energy ordering: *P* at the bottom, the next structure 406 meV per atom above.

*P*
## NaNdCoS3 (PBE)

Data for NaNdCoS3 after structural relaxation.

Lattice parameters (Å, degrees): 3.953 12.667 10.861 90.00 90.00 90.00
Space group Cmcm (No. 63)
One atom of each set of equivalent atoms:
Na 0.000 0.248 0.250
Nd 0.000 0.000 0.000
Co 0.000 0.471 0.750
S 0.000 0.073 0.750
S 0.000 0.362 0.586

Calculated values
The total magnetization is 2.99 μB/f.u.

*Q*
## NaNdCoS3 (PBE)

Data for NaNdCoS3 after structural relaxation.

Lattice parameters (Å, degrees): 11.077 3.993 11.472 90.00 90.00 90.00
Space group Pnma (No. 62)
One atom of each set of equivalent atoms:
Na 0.161 0.250 0.008
Nd 0.021 0.250 0.677
Co 0.245 0.250 0.290
S 0.060 0.750 0.848
S 0.117 0.250 0.441
S 0.215 0.750 0.195

Calculated values
The total magnetization is 2.96 μB/f.u.

Energy ordering: *Q* at the bottom, the next structure 32 meV per atom above.

*P*
## NaNdCoSe3 (PBE)

Data for NaNdCoSe3 after structural relaxation.

Lattice parameters (Å, degrees): 11.474 4.142 12.009 90.00 90.00 90.00
Space group Pnma (No. 62)
One atom of each set of equivalent atoms:
Na 0.174 0.250 0.003
Nd 0.019 0.250 0.681
Co 0.249 0.750 0.791
Se 0.053 0.750 0.854
Se 0.116 0.250 0.441
Se 0.217 0.750 0.193

Calculated values
The total magnetization is 2.84 μB/f.u.

*Q*
## NaNdCoSe3 (PBE)

Data for NaNdCoSe3 after structural relaxation.

Lattice parameters (Å, degrees): 4.100 13.383 11.148 90.00 90.00 90.00
Space group Cmcm (No. 63)
One atom of each set of equivalent atoms:
Na 0.000 0.246 0.250
Nd 0.000 0.000 0.000
Co 0.000 0.473 0.750
Se 0.000 0.078 0.750
Se 0.000 0.360 0.584

Calculated values
The total magnetization is 2.99 μB/f.u.

Energy ordering: *P* at the bottom, the next structure 7 meV per atom above.

*P*
## NaCoNi (PBE)

Data for NaCoNi after structural relaxation.

Lattice parameters (Å, degrees): 5.810 5.810 5.810 90.00 90.00 90.00
Space group F-43m (No. 216)
One atom of each set of equivalent atoms:
Na 0.000 0.000 0.000
Co 0.000 0.000 0.500
Ni 0.250 0.250 0.750

Calculated values
The total magnetization is 2.45 μB/f.u.

*Q*
## NaCoNi (PBE)

Data for NaCoNi after structural relaxation.

Lattice parameters (Å, degrees): 5.866 5.866 5.866 90.00 90.00 90.00
Space group F-43m (No. 216)
One atom of each set of equivalent atoms:
Na 0.000 0.000 0.000
Co 0.250 0.250 0.750
Ni 0.250 0.250 0.250

Calculated values
The total magnetization is 2.28 μB/f.u.

Energy ordering: *P* at the bottom, the next structure 597 meV per atom above.

*P*
## NaCoNiS3 (PBE)

Data for NaCoNiS3 after structural relaxation.

Lattice parameters (Å, degrees): 3.394 12.883 9.121 90.00 90.00 90.00
Space group Cmcm (No. 63)
One atom of each set of equivalent atoms:
Na 0.000 0.243 0.250
Co 0.000 0.000 0.000
Ni 0.000 0.466 0.750
S 0.000 0.072 0.750
S 0.000 0.384 0.544

Calculated values
The total magnetization is 0.83 μB/f.u.

*Q*
## NaCoNiS3 (PBE)

Data for NaCoNiS3 after structural relaxation.

Lattice parameters (Å, degrees): 7.030 3.467 8.911 90.00 108.06 90.00
Space group P2_1/m (No. 11)
One atom of each set of equivalent atoms:
Na 0.241 0.250 0.217
Co 0.429 0.250 0.892
Ni 0.179 0.750 0.645
S 0.046 0.750 0.372
S 0.265 0.750 0.944
S 0.394 0.250 0.645

Calculated values
The total magnetization is 0.86 μB/f.u.

Energy ordering: *P* at the bottom, the next structure 8 meV per atom above.